VASP calculation (GGA-PBEsol) on crystalline LiH2SO4 at its relaxed geometry.

Total DFT energy (no corrections) in eV per formula unit: -45.4

a b c (Å): 6.002 9.952 10.301
angles (deg): 90.00 90.00 90.00
Fractional positions:
H1 0.296 0.114 0.449
H2 0.701 0.252 0.390
H3 0.799 0.752 0.610
H4 0.204 0.614 0.949
H5 0.704 0.886 0.551
H6 0.299 0.748 0.610
H7 0.201 0.248 0.390
H8 0.201 0.248 0.110
H9 0.704 0.886 0.949
H10 0.799 0.752 0.890
H11 0.299 0.748 0.890
H12 0.701 0.252 0.110
H13 0.796 0.386 0.449
H14 0.796 0.386 0.051
H15 0.296 0.114 0.051
H16 0.204 0.614 0.551
O1 0.852 0.555 0.130
O2 0.957 0.267 0.750
O3 0.148 0.445 0.630
O4 0.261 0.704 0.974
O5 0.880 0.007 0.370
O6 0.648 0.055 0.630
O7 0.155 0.330 0.250
O8 0.239 0.204 0.474
O9 0.739 0.296 0.474
O10 0.880 0.007 0.130
O11 0.148 0.445 0.870
O12 0.043 0.733 0.250
O13 0.648 0.055 0.870
O14 0.620 0.507 0.870
O15 0.620 0.507 0.630
O16 0.739 0.296 0.026
O17 0.380 0.493 0.370
O18 0.845 0.670 0.750
O19 0.761 0.796 0.526
O20 0.761 0.796 0.974
O21 0.543 0.767 0.250
O22 0.120 0.993 0.870
O23 0.120 0.993 0.630
O24 0.457 0.233 0.750
O25 0.380 0.493 0.130
O26 0.239 0.204 0.026
O27 0.655 0.170 0.250
O28 0.261 0.704 0.526
O29 0.852 0.555 0.370
O30 0.352 0.945 0.130
O31 0.345 0.830 0.750
O32 0.352 0.945 0.370
S1 0.240 0.964 0.750
S2 0.760 0.036 0.250
S3 0.535 0.093 0.750
S4 0.740 0.536 0.750
S5 0.260 0.464 0.250
S6 0.465 0.907 0.250
S7 0.965 0.593 0.250
S8 0.035 0.407 0.750
Li1 0.443 0.337 0.568
Li2 0.557 0.663 0.432
Li3 0.443 0.337 0.932
Li4 0.943 0.163 0.932
Li5 0.057 0.837 0.432
Li6 0.557 0.663 0.068
Li7 0.943 0.163 0.568
Li8 0.057 0.837 0.068